{
  "formula": "ScTc2Pd",
  "functional": "PBE",
  "state": "optimized geometry",
  "ef_ev_per_atom": 0.42,
  "dos_at_fermi_per_ev_cell": 10.491,
  "final_energy_ev_per_atom": -7.6459,
  "relative_energy_kj_per_mol_atoms": 17.4,
  "magnetic_moment_mub_per_atom": 0.243,
  "cell": [[7.5167, 0.0000, 0.0000], [0.0000, 7.5167, 0.0000], [3.7583, 3.7583, 2.5027]],
  "species": ["Tc", "Tc", "Tc", "Tc", "Pd", "Pd", "Sc", "Sc"],
  "fractional_positions": [[0.6498, 0.1250, 0.2500], [0.1002, 0.6250, 0.2500], [0.3750, 0.3502, 0.7500], [0.8750, 0.8998, 0.7500], [0.7500, 0.2500, 0.5000], [0.0000, 0.0000, 0.0000], [0.2500, 0.7500, 0.5000], [0.5000, 0.5000, 0.0000]]
}